YAsW | PBE-GGA | optimized geometry

The polymorph energy (0 for the lowest one) comes out at 359 meV/atom. The crystal system is cubic. As for the total moment: 0.000 μB/atom. The calculation puts the density of states at the Fermi level at 2.1 states/eV per cell. As for the volume: 64.3 Å³ per cell.

a = 4.4968 Å, b = 4.4968 Å, c = 4.4968 Å
α = 60.00°, β = 60.00°, γ = 60.00°
Sites, in units of the cell vectors:
Y: 0.0000 0.0000 0.0000
As: 0.7500 0.7500 0.7500
W: 0.5000 0.5000 0.5000